An optimized crystal structure of CeB2PdPt5, computed with PBE.

Properties
* formation enthalpy at 0 K: -0.3807 eV per atom
* magnetic moment: 0.070 μB/atom
* SG: P4/mmm (123)

Cell lengths 3.9590, 3.9590, 9.7189 Å; angles 90.00, 90.00, 90.00 degrees
Last column: nearest neighbours and their distance in Å.
Atoms (fractional coordinates):
B 0.5000 0.5000 0.7207  5 Pt 2.13-2.14
B 0.5000 0.5000 0.2793  5 Pt 2.13-2.14
Ce 0.0000 0.0000 0.5000  4 Pt 2.80
Pt 0.0000 0.5000 0.1978  2 B 2.13
Pt 0.5000 0.0000 0.1978  2 B 2.13
Pt 0.5000 0.0000 0.8022  2 B 2.13
Pt 0.5000 0.5000 0.5000  2 B 2.14
Pt 0.0000 0.5000 0.8022  2 B 2.13
Pd 0.0000 0.0000 0.0000  8 Pt 2.76